# 1
DFT (PBE) results for a relaxed structure of HfTiRe4.

Properties
DOS(E_F) = 1.353 states/eV per atom
energy of formation = -0.250 eV/atom
calculated density = 15.9 g/cm3
energy = -11.523 eV per atom

a b c (Å): 5.230 5.230 5.230
angles (deg): 60.00 60.00 60.00
Fractional positions:
Re: 0.625 0.625 0.124
Re: 0.625 0.124 0.625
Re: 0.625 0.625 0.625
Re: 0.124 0.625 0.625
Hf: 0.250 0.250 0.250
Ti: 0.000 0.000 0.000


# 2
DFT (PBE) results for a relaxed structure of Hf2TiRe.

Properties
DOS(E_F) = 1.175 states/eV per atom
energy of formation = -0.146 eV/atom
calculated density = 13.2 g/cm3
excess energy over the best structure of this formula in the dataset = 0 meV per atom
energy = -10.208 eV per atom

a b c (Å): 4.715 4.715 4.715
angles (deg): 60.00 60.00 60.00
Fractional positions:
Re: 0.500 0.500 0.500
Hf: 0.250 0.250 0.250
Hf: 0.750 0.750 0.750
Ti: 0.000 0.000 0.000


# 3
DFT (PBE) results for a relaxed structure of Hf2Ti2Re.

Properties
DOS(E_F) = 1.116 states/eV per atom
energy of formation = 0.047 eV/atom
calculated density = 11.0 g/cm3
excess energy over the best structure of this formula in the dataset = 5 meV per atom
energy = -9.582 eV per atom

a b c (Å): 6.360 6.360 4.750
angles (deg): 90.00 90.00 90.00
Fractional positions:
Re: 0.000 0.000 0.000
Re: 0.500 0.500 0.000
Hf: 0.166 0.666 0.500
Hf: 0.666 0.834 0.500
Hf: 0.834 0.334 0.500
Hf: 0.334 0.166 0.500
Ti: 0.353 0.853 0.000
Ti: 0.853 0.647 0.000
Ti: 0.647 0.147 0.000
Ti: 0.147 0.353 0.000


# 4
DFT (PBE) results for a relaxed structure of HfTi4Re.

Properties
DOS(E_F) = 0.987 states/eV per atom
energy of formation = -0.164 eV/atom
calculated density = 8.8 g/cm3
energy = -9.161 eV per atom

a b c (Å): 4.527 5.430 5.515
angles (deg): 61.74 65.77 65.36
Fractional positions:
Hf: 0.000 0.500 0.500
Ti: 0.649 0.007 0.695
Ti: 0.351 0.993 0.305
Ti: 0.705 0.449 0.141
Ti: 0.295 0.551 0.859
Re: 0.000 0.000 0.000